Model A:
## CaMn2Cr (PBE)

Data for a geometry-optimized CaMn2Cr structure.

Calculated values
Its total moment is 0.83 μB/atom.

Cell: 8.9488 3.2002 5.4855 Å, 90.00 104.00 90.00°
Space group Cm (No. 8)
Symmetry-distinct sites (fractional):
Ca1 0.0000 0.0000 0.0000 (multiplicity 2)
Mn1 0.0100 0.5000 0.5168 (multiplicity 2)
Mn2 0.2764 0.5000 0.3305 (multiplicity 2)
Cr1 0.2200 0.0000 0.6080 (multiplicity 2)



Model B:
## CaMn2Cr (PBE)

Data for a geometry-optimized CaMn2Cr structure.

Calculated values
Its total moment is 0.84 μB/atom.

Cell: 6.4871 6.6318 3.2890 Å, 90.00 90.69 90.00°
Space group C2/m (No. 12)
Symmetry-distinct sites (fractional):
Ca1 0.0000 0.0000 0.0000 (multiplicity 2)
Mn1 0.2500 0.2500 0.5000 (multiplicity 4)
Cr1 0.0000 0.5000 0.0000 (multiplicity 2)



Model C:
## CaMn2Cr (PBE)

Data for a geometry-optimized CaMn2Cr structure.

Calculated values
Its total moment is 1.09 μB/atom.

Cell: 3.0557 3.0557 7.4289 Å, 90.00 90.00 90.00°
Space group P4/mmm (No. 123)
Symmetry-distinct sites (fractional):
Ca1 0.0000 0.0000 0.0000 (multiplicity 1)
Mn1 0.5000 0.5000 0.3218 (multiplicity 2)
Cr1 0.0000 0.0000 0.5000 (multiplicity 1)



Model D:
## CaMn2Cr (PBE)

Data for a geometry-optimized CaMn2Cr structure.

Calculated values
Its total moment is 1.12 μB/atom.

Cell: 3.0513 3.0513 26.3444 Å, 90.00 90.00 120.00°
Space group R-3m (No. 166, hexagonal axes)
Symmetry-distinct sites (fractional):
Ca1 0.0000 0.0000 0.0000 (multiplicity 3)
Mn1 0.0000 0.0000 0.2325 (multiplicity 6)
Cr1 0.0000 0.0000 0.5000 (multiplicity 3)



Which structure is the least stable? The one labeled model D.



Model A:
## CaMn2Cr (PBE)

Data for a geometry-optimized CaMn2Cr structure.

Calculated values
Its total moment is 1.03 μB/atom.

Cell: 6.6375 6.6375 6.6375 Å, 90.00 90.00 90.00°
Space group F-43m (No. 216)
Symmetry-distinct sites (fractional):
Ca1 0.0000 0.0000 0.0000 (multiplicity 4)
Mn1 0.0000 0.0000 0.5000 (multiplicity 4)
Mn2 0.2500 0.2500 0.2500 (multiplicity 4)
Cr1 0.2500 0.2500 0.7500 (multiplicity 4)



Model B:
## CaMn2Cr (PBE)

Data for a geometry-optimized CaMn2Cr structure.

Calculated values
Its total moment is 0.89 μB/atom.

Cell: 3.3784 4.4197 10.0604 Å, 90.00 90.00 90.00°
Space group Imm2 (No. 44)
Symmetry-distinct sites (fractional):
Ca1 0.0000 0.0000 0.0000 (multiplicity 2)
Mn1 0.0000 0.0000 0.4073 (multiplicity 2)
Mn2 0.0000 0.5000 0.2341 (multiplicity 2)
Cr1 0.0000 0.5000 0.7572 (multiplicity 2)



Which structure is the least stable? The one labeled model A.



Model A:
## CaMn2Cr (PBE)

Data for a geometry-optimized CaMn2Cr structure.

Calculated values
Its total moment is 0.97 μB/atom.

Cell: 7.2384 4.1847 5.7748 Å, 90.00 114.87 90.00°
Space group C2/m (No. 12)
Symmetry-distinct sites (fractional):
Ca1 0.0000 0.0000 0.0000 (multiplicity 2)
Mn1 0.2036 0.0000 0.6103 (multiplicity 4)
Cr1 0.0000 0.5000 0.5000 (multiplicity 2)



Model B:
## CaMn2Cr (PBE)

Data for a geometry-optimized CaMn2Cr structure.

Calculated values
Its total moment is 0.87 μB/atom.

Cell: 3.4639 4.5655 4.6157 Å, 90.00 90.00 90.00°
Space group Pmmm (No. 47)
Symmetry-distinct sites (fractional):
Ca1 0.0000 0.0000 0.0000 (multiplicity 1)
Mn1 0.0000 0.5000 0.5000 (multiplicity 1)
Mn2 0.5000 0.5000 0.0000 (multiplicity 1)
Cr1 0.5000 0.0000 0.5000 (multiplicity 1)



Which structure is the least stable? The one labeled model B.



Model A:
## CaMn2Cr (PBE)

Data for a geometry-optimized CaMn2Cr structure.

Calculated values
Its total moment is 1.01 μB/atom.

Cell: 4.1982 5.0373 6.9934 Å, 90.00 90.00 90.00°
Space group Immm (No. 71)
Symmetry-distinct sites (fractional):
Ca1 0.0000 0.0000 0.0000 (multiplicity 2)
Mn1 0.0000 0.5000 0.2047 (multiplicity 4)
Cr1 0.0000 0.0000 0.5000 (multiplicity 2)



Model B:
## CaMn2Cr (PBE)

Data for a geometry-optimized CaMn2Cr structure.

Calculated values
Its total moment is 1.06 μB/atom.

Cell: 3.0981 3.0981 7.5694 Å, 90.00 90.00 90.00°
Space group P4mm (No. 99)
Symmetry-distinct sites (fractional):
Ca1 0.0000 0.0000 0.0000 (multiplicity 1)
Mn1 0.0000 0.0000 0.4910 (multiplicity 1)
Mn2 0.5000 0.5000 0.6820 (multiplicity 1)
Cr1 0.5000 0.5000 0.3222 (multiplicity 1)



Model C:
## CaMn2Cr (PBE)

Data for a geometry-optimized CaMn2Cr structure.

Calculated values
Its total moment is 0.00 μB/atom.

Cell: 4.4639 4.4639 15.3221 Å, 90.00 90.00 90.00°
Space group I4_1/amd (No. 141, origin choice 2)
Symmetry-distinct sites (fractional):
Ca1 0.0000 0.2500 0.3750 (multiplicity 4)
Mn1 0.0000 0.0000 0.0000 (multiplicity 8)
Cr1 0.0000 0.2500 0.8750 (multiplicity 4)



Which structure is the least stable? The one labeled model C.



Model A:
## Ca3CrMo (PBE)

Data for a geometry-optimized Ca3CrMo structure.

Calculated values
Its total moment is 1.14 μB/atom.

Cell: 5.4657 5.4657 5.4657 Å, 90.00 90.00 90.00°
Space group Pm-3m (No. 221)
Symmetry-distinct sites (fractional):
Ca1 0.0000 0.0000 0.5000 (multiplicity 3)
Cr1 0.5000 0.5000 0.5000 (multiplicity 1)
Mo1 0.0000 0.0000 0.0000 (multiplicity 1)



Model B:
## Ca3CrMo (PBE)

Data for a geometry-optimized Ca3CrMo structure.

Calculated values
Its total moment is 0.01 μB/atom.

Cell: 5.2093 5.2093 5.2093 Å, 90.00 90.00 90.00°
Space group Pm-3m (No. 221)
Symmetry-distinct sites (fractional):
Ca1 0.0000 0.0000 0.5000 (multiplicity 3)
Cr1 0.0000 0.0000 0.0000 (multiplicity 1)
Mo1 0.5000 0.5000 0.5000 (multiplicity 1)



Which structure is the least stable? The one labeled model B.



Model A:
## Ca2CrMo (PBE)

Data for a geometry-optimized Ca2CrMo structure.

Calculated values
Its total moment is 0.00 μB/atom.

Cell: 8.1002 8.1002 5.3758 Å, 90.00 90.00 90.00°
Space group I-42d (No. 122)
Symmetry-distinct sites (fractional):
Ca1 0.2302 0.2500 0.1250 (multiplicity 8)
Cr1 0.0000 0.0000 0.0000 (multiplicity 4)
Mo1 0.0000 0.0000 0.5000 (multiplicity 4)



Model B:
## Ca2CrMo (PBE)

Data for a geometry-optimized Ca2CrMo structure.

Calculated values
Its total moment is 0.43 μB/atom.

Cell: 5.0405 5.0405 3.9344 Å, 90.00 90.00 90.00°
Space group P4/mmm (No. 123)
Symmetry-distinct sites (fractional):
Ca1 0.0000 0.5000 0.0000 (multiplicity 2)
Cr1 0.0000 0.0000 0.5000 (multiplicity 1)
Mo1 0.5000 0.5000 0.5000 (multiplicity 1)



Which structure is the least stable? The one labeled model A.



Model A:
## Ca2CrMo (PBE)

Data for a geometry-optimized Ca2CrMo structure.

Calculated values
Its total moment is 0.49 μB/atom.

Cell: 4.3337 4.3337 4.8894 Å, 90.00 90.00 90.00°
Space group P4/mmm (No. 123)
Symmetry-distinct sites (fractional):
Ca1 0.0000 0.5000 0.0000 (multiplicity 2)
Cr1 0.0000 0.0000 0.5000 (multiplicity 1)
Mo1 0.5000 0.5000 0.5000 (multiplicity 1)



Model B:
## Ca2CrMo (PBE)

Data for a geometry-optimized Ca2CrMo structure.

Calculated values
Its total moment is 0.36 μB/atom.

Cell: 7.9751 3.2565 8.0694 Å, 90.00 94.98 90.00°
Space group Cm (No. 8)
Symmetry-distinct sites (fractional):
Ca1 0.0000 0.0000 0.0000 (multiplicity 2)
Ca2 0.2161 0.0000 0.6005 (multiplicity 2)
Cr1 0.4734 0.0000 0.3456 (multiplicity 2)
Mo1 0.2517 0.5000 0.2552 (multiplicity 2)



Which structure is the least stable? The one labeled model A.



Model A:
## Ca2CrMo (PBE)

Data for a geometry-optimized Ca2CrMo structure.

Calculated values
Its total moment is 0.50 μB/atom.

Cell: 3.8090 3.8090 6.9651 Å, 90.00 90.00 90.00°
Space group P4/mmm (No. 123)
Symmetry-distinct sites (fractional):
Ca1 0.0000 0.0000 0.2420 (multiplicity 2)
Cr1 0.5000 0.5000 0.5000 (multiplicity 1)
Mo1 0.5000 0.5000 0.0000 (multiplicity 1)



Model B:
## Ca2CrMo (PBE)

Data for a geometry-optimized Ca2CrMo structure.

Calculated values
Its total moment is 0.24 μB/atom.

Cell: 3.3264 3.3304 8.8463 Å, 90.00 90.17 90.00°
Space group Pm (No. 6)
Symmetry-distinct sites (fractional):
Ca1 0.0000 0.0000 0.0000 (multiplicity 1)
Ca2 0.4968 0.5000 0.3829 (multiplicity 1)
Cr1 0.4996 0.5000 0.7415 (multiplicity 1)
Mo1 0.9986 0.0000 0.6444 (multiplicity 1)



Model C:
## Ca2CrMo (PBE)

Data for a geometry-optimized Ca2CrMo structure.

Calculated values
Its total moment is 1.11 μB/atom.

Cell: 3.2026 3.2026 31.5501 Å, 90.00 90.00 120.00°
Space group R-3m (No. 166, hexagonal axes)
Symmetry-distinct sites (fractional):
Ca1 0.0000 0.0000 0.2458 (multiplicity 6)
Cr1 0.0000 0.0000 0.0000 (multiplicity 3)
Mo1 0.0000 0.0000 0.5000 (multiplicity 3)



Model D:
## Ca2CrMo (PBE)

Data for a geometry-optimized Ca2CrMo structure.

Calculated values
Its total moment is 0.71 μB/atom.

Cell: 6.0184 9.7908 3.0821 Å, 90.00 91.53 90.00°
Space group C2/m (No. 12)
Symmetry-distinct sites (fractional):
Ca1 0.2500 0.2500 0.0000 (multiplicity 4)
Cr1 0.0000 0.0000 0.5000 (multiplicity 2)
Mo1 0.0000 0.5000 0.5000 (multiplicity 2)



Which structure is the least stable? The one labeled model C.



Model A:
## Ca2CrMo (PBE)

Data for a geometry-optimized Ca2CrMo structure.

Calculated values
Its total moment is 0.72 μB/atom.

Cell: 10.4053 3.0413 5.8080 Å, 90.00 96.16 90.00°
Space group C2/m (No. 12)
Symmetry-distinct sites (fractional):
Ca1 0.2471 0.0000 0.2418 (multiplicity 4)
Cr1 0.0000 0.0000 0.5000 (multiplicity 2)
Mo1 0.0000 0.5000 0.0000 (multiplicity 2)



Model B:
## Ca2CrMo (PBE)

Data for a geometry-optimized Ca2CrMo structure.

Calculated values
Its total moment is 0.18 μB/atom.

Cell: 3.4282 5.4472 10.1054 Å, 90.00 90.00 90.00°
Space group Imm2 (No. 44)
Symmetry-distinct sites (fractional):
Ca1 0.0000 0.0000 0.0000 (multiplicity 2)
Ca2 0.0000 0.5000 0.2021 (multiplicity 2)
Cr1 0.0000 0.5000 0.7687 (multiplicity 2)
Mo1 0.0000 0.0000 0.4173 (multiplicity 2)



Model C:
## Ca2CrMo (PBE)

Data for a geometry-optimized Ca2CrMo structure.

Calculated values
Its total moment is 0.65 μB/atom.

Cell: 7.1371 7.1371 7.1371 Å, 90.00 90.00 90.00°
Space group Fm-3m (No. 225)
Symmetry-distinct sites (fractional):
Ca1 0.2500 0.2500 0.2500 (multiplicity 8)
Cr1 0.0000 0.0000 0.0000 (multiplicity 4)
Mo1 0.0000 0.0000 0.5000 (multiplicity 4)



Model D:
## Ca2CrMo (PBE)

Data for a geometry-optimized Ca2CrMo structure.

Calculated values
Its total moment is 0.48 μB/atom.

Cell: 4.0052 4.6416 9.8984 Å, 90.00 90.00 90.00°
Space group Immm (No. 71)
Symmetry-distinct sites (fractional):
Ca1 0.0000 0.0000 0.2450 (multiplicity 4)
Cr1 0.0000 0.5000 0.5000 (multiplicity 2)
Mo1 0.0000 0.5000 0.0000 (multiplicity 2)



Which structure is the least stable? The one labeled model C.



Model A:
## CaCrMo3 (PBE)

Data for a geometry-optimized CaCrMo3 structure.

Calculated values
Its total moment is 0.00 μB/atom.

Cell: 4.6216 4.6216 4.6216 Å, 90.00 90.00 90.00°
Space group Pm-3m (No. 221)
Symmetry-distinct sites (fractional):
Ca1 0.0000 0.0000 0.0000 (multiplicity 1)
Cr1 0.5000 0.5000 0.5000 (multiplicity 1)
Mo1 0.0000 0.5000 0.5000 (multiplicity 3)



Model B:
## CaCrMo3 (PBE)

Data for a geometry-optimized CaCrMo3 structure.

Calculated values
Its total moment is 0.00 μB/atom.

Cell: 4.5243 4.5243 4.5243 Å, 90.00 90.00 90.00°
Space group Pm-3m (No. 221)
Symmetry-distinct sites (fractional):
Ca1 0.0000 0.0000 0.0000 (multiplicity 1)
Cr1 0.5000 0.5000 0.5000 (multiplicity 1)
Mo1 0.0000 0.0000 0.5000 (multiplicity 3)



Which structure is the least stable? The one labeled model B.